Computed, not measured: a relaxed structure of Er6BiTe3Pb2 at the PBE level of DFT.

Structure (POSCAR):
```
Er6BiTe3Pb2
1.0
-1.121 4.255 -0.023
-5.341 -1.443 -6.801
-5.132 -3.586 7.536
Te Er Bi Pb
3 6 1 2
Direct
0.835 0.166 0.670 Te
0.165 0.834 0.330 Te
0.500 0.500 0.000 Te
0.331 0.423 0.661 Er
0.667 0.093 0.333 Er
0.996 0.750 0.992 Er
0.004 0.250 0.008 Er
0.333 0.907 0.667 Er
0.669 0.577 0.339 Er
0.500 0.000 0.000 Bi
0.833 0.667 0.666 Pb
0.167 0.333 0.334 Pb
```

Computed properties:
**Symmetry**: C2/m
**Volume**: 29.92 Å³/atom
**Formation energy (no corrections)**: -947 meV per atom
**Total DFT energy (no corrections)**: -59.46 eV/f.u.
**D(E_F)**: 2.0 states/eV/cell